Record 1
Density functional theory data (PBE-GGA) for a geometry-optimized In3GeSb structure.

It has space group Pm-3m (No. 221), with a = 5.663 Å, b = 5.663 Å, c = 5.663 Å, α = 90.00°, β = 90.00° and γ = 90.00°. The asymmetric unit holds In at (0.000, 0.000, 0.500), Ge at (0.500, 0.500, 0.500) and Sb at (0.000, 0.000, 0.000).

As for the magnetic moment: 0.5 μB per cell. The calculation puts the excess energy over the best structure of this formula in the dataset at 400 meV/atom. As for the crystal system: cubic.

Record 2
Density functional theory data (PBE-GGA) for a geometry-optimized In3GeSb structure.

It has space group Pm-3m (No. 221), with a = 5.313 Å, b = 5.313 Å, c = 5.313 Å, α = 90.00°, β = 90.00° and γ = 90.00°. The asymmetric unit holds In at (0.000, 0.000, 0.500), Ge at (0.000, 0.000, 0.000) and Sb at (0.500, 0.500, 0.500).

As for the magnetic moment: 0.0 μB per cell. The calculation puts the excess energy over the best structure of this formula in the dataset at 0 meV/atom. As for the crystal system: cubic.

Record 3
Density functional theory data (PBE-GGA) for a geometry-optimized In2GeSb structure.

It has space group P-1 (No. 2), with a = 6.286 Å, b = 6.349 Å, c = 6.678 Å, α = 61.74°, β = 76.68° and γ = 62.20°. The asymmetric unit holds In at (0.201, 0.192, 0.230), In at (0.289, 0.633, 0.268), Ge at (0.239, 0.347, 0.750) and Sb at (0.261, 0.902, 0.749).

As for the magnetic moment: 0.0 μB per cell. The calculation puts the excess energy over the best structure of this formula in the dataset at 0 meV/atom. As for the crystal system: triclinic.

Record 4
Density functional theory data (PBE-GGA) for a geometry-optimized In2GeSb structure.

It has space group P1 (No. 1), with a = 5.655 Å, b = 6.382 Å, c = 6.556 Å, α = 89.85°, β = 89.84° and γ = 64.30°. The asymmetric unit holds In at (0.000, 0.000, 0.000), In at (0.054, 0.887, 0.499), In at (0.283, 0.417, 0.226), In at (0.552, 0.889, 0.756), Ge at (0.791, 0.398, 0.288), Ge at (0.806, 0.371, 0.685), Sb at (0.272, 0.439, 0.764) and Sb at (0.564, 0.875, 0.244).

As for the magnetic moment: 0.0 μB per cell. The calculation puts the excess energy over the best structure of this formula in the dataset at 9 meV/atom. As for the crystal system: triclinic.

- Look up the excess energy over the best structure of this formula in the dataset of the third one.
  0 meV/atom